Density functional theory data (meta-GGA SCAN) for Nd2Ga2Co15 at its PBEsol-relaxed geometry.

Lattice parameters (Å, degrees): 6.255 6.255 6.255 83.15 83.15 83.15
Site moments in Bohr magnetons follow the coordinates.
Positions (direct):
1 Nd 0.648 0.648 0.648  -0.29
2 Nd 0.352 0.352 0.352  -0.29
3 Ga 0.894 0.894 0.894  -0.06
4 Ga 0.106 0.106 0.106  -0.06
5 Co 0.000 0.500 0.000  1.64
6 Co 0.000 0.000 0.500  1.64
7 Co 0.500 0.000 0.000  1.64
8 Co 0.286 0.000 0.714  1.71
9 Co 0.714 0.286 0.000  1.71
10 Co 0.000 0.714 0.286  1.71
11 Co 0.286 0.714 0.000  1.71
12 Co 0.000 0.286 0.714  1.71
13 Co 0.714 0.000 0.286  1.71
14 Co 0.348 0.851 0.348  1.61
15 Co 0.348 0.348 0.851  1.61
16 Co 0.851 0.348 0.348  1.61
17 Co 0.652 0.149 0.652  1.61
18 Co 0.652 0.652 0.149  1.61
19 Co 0.149 0.652 0.652  1.61

Summary:
The formation energy comes out at -0.031 eV per atom. The total magnetization is 1.223 μB/atom. For the raw total energy, the calculation gives -20.0009 eV/atom. The density is 9.1 g/cm3. Its symmetry is R-3m, No. 166.